The following is a DFT calculation (GGA-PBEsol) of a relaxed structure of PPd2F.

Properties
Raw total energy = -5.485 eV per atom
DOS(E_F) = 1.11 states/eV per cell
Formation energy (no corrections) = -2.304 eV per formula unit
Space-group type = I-42d (122)

Geometry as POSCAR:
```
PPd2F
1.0
6.051 0.000 0.000
0.000 6.051 0.000
0.000 0.000 6.263
P Pd F
4 8 4
direct
0.000 0.000 0.000
0.000 0.500 0.250
0.500 0.000 0.750
0.500 0.500 0.500
0.236 0.250 0.125
0.250 0.736 0.375
0.250 0.764 0.875
0.264 0.250 0.625
0.736 0.750 0.625
0.750 0.236 0.875
0.750 0.264 0.375
0.764 0.750 0.125
0.000 0.000 0.500
0.000 0.500 0.750
0.500 0.000 0.250
0.500 0.500 0.000
```


The following is a DFT calculation (GGA-PBEsol) of a relaxed structure of PPt2F.

Properties
Raw total energy = -5.826 eV per atom
DOS(E_F) = 1.62 states/eV per cell
Formation energy (no corrections) = -1.658 eV per formula unit
Space-group type = I-42d (122)

Geometry as POSCAR:
```
PPt2F
1.0
6.188 0.000 0.000
0.000 6.188 0.000
0.000 0.000 6.002
P Pt F
4 8 4
direct
0.000 0.000 0.000
0.000 0.500 0.250
0.500 0.000 0.750
0.500 0.500 0.500
0.229 0.250 0.125
0.250 0.729 0.375
0.250 0.771 0.875
0.271 0.250 0.625
0.729 0.750 0.625
0.750 0.229 0.875
0.750 0.271 0.375
0.771 0.750 0.125
0.000 0.000 0.500
0.000 0.500 0.750
0.500 0.000 0.250
0.500 0.500 0.000
```